No. 1
## GaAg7 (GGA-PBE)

Data for a geometry-optimized GaAg7 structure.

a b c (Å): 8.2943 8.2943 8.2943
angles (deg): 90.00 90.00 90.00
Last column: nearest neighbours and their distance in Å.
Space group Fm-3m (No. 225)
Inequivalent atoms, fractional coordinates:
Ga1 0.0000 0.0000 0.0000 [4 per cell]  12 Ag 2.93
Ag1 0.0000 0.0000 0.5000 [4 per cell]  12 Ag 2.93
Ag2 0.0000 0.2500 0.2500 [24 per cell]  10 Ag 2.93, 2 Ga 2.93

Values from the calculation:
- VASP energy: -2.87 eV/atom
- Offset from the most stable computed form: 0 meV per atom

***

No. 2
## KTe2PbAuSe (GGA-PBE)

Data for a geometry-optimized KTe2PbAuSe structure.

a b c (Å): 4.4529 13.7176 11.9622
angles (deg): 90.00 90.00 90.00
Last column: nearest neighbours and their distance in Å.
Space group Cmcm (No. 63)
Inequivalent atoms, fractional coordinates:
K1 0.0000 0.2229 0.2500 [4 per cell]  2 Se 3.43, 6 Te 3.57-3.69, 2 Au 3.68
Te1 0.0000 0.1638 0.5406 [8 per cell]  1 Au 2.86
Pb1 0.0000 0.5000 0.0000 [4 per cell]  2 Se 3.02, 4 Te 3.20
Au1 0.0000 0.0638 0.7500 [4 per cell]  2 Se 2.59, 2 Te 2.86
Se1 0.0000 0.4669 0.7500 [4 per cell]  2 Au 2.59

Values from the calculation:
- VASP energy: -3.35 eV/atom

***

No. 3
## ScBeTlPt (GGA-PBE)

Data for a geometry-optimized ScBeTlPt structure.

a b c (Å): 6.5158 6.5158 6.5158
angles (deg): 90.00 90.00 90.00
Last column: nearest neighbours and their distance in Å.
Space group F-43m (No. 216)
Inequivalent atoms, fractional coordinates:
Sc1 0.0000 0.0000 0.0000 [4 per cell]  4 Tl 2.82, 4 Pt 2.82
Be1 0.0000 0.0000 0.5000 [4 per cell]  4 Tl 2.82, 4 Pt 2.82
Tl1 0.2500 0.2500 0.7500 [4 per cell]  4 Be 2.82, 4 Sc 2.82
Pt1 0.2500 0.2500 0.2500 [4 per cell]  4 Be 2.82, 4 Sc 2.82

Values from the calculation:
- VASP energy: -4.87 eV/atom
- Offset from the most stable computed form: 0 meV per atom

***

No. 4
## RbScU (GGA-PBE)

Data for a geometry-optimized RbScU structure.

a b c (Å): 8.0283 8.0283 8.0283
angles (deg): 90.00 90.00 90.00
Last column: nearest neighbours and their distance in Å.
Space group F-43m (No. 216)
Inequivalent atoms, fractional coordinates:
Rb1 0.0000 0.0000 0.0000 [4 per cell]  4 Sc 3.48
Sc1 0.2500 0.2500 0.2500 [4 per cell]  4 U 3.48, 4 Rb 3.48
U1 0.0000 0.0000 0.5000 [4 per cell]  4 Sc 3.48

Values from the calculation:
- VASP energy: -4.27 eV/atom
- Offset from the most stable computed form: 0 meV per atom

***

No. 5
## PrGdTe4 (GGA-PBE)

Data for a geometry-optimized PrGdTe4 structure.

a b c (Å): 6.9907 6.9907 7.6703
angles (deg): 90.00 90.00 90.00
Last column: nearest neighbours and their distance in Å.
Space group P4/nbm (No. 125, origin choice 2)
Inequivalent atoms, fractional coordinates:
Pr1 0.2500 0.2500 0.0000 [2 per cell]  8 Te 3.30
Gd1 0.2500 0.2500 0.5000 [2 per cell]  8 Te 3.22
Te1 0.0927 0.5927 0.2586 [8 per cell]  1 Te 3.11, 2 Gd 3.22, 2 Pr 3.30

Values from the calculation:
- VASP energy: -4.76 eV/atom

***

No. 6
## LiErSO (GGA-PBE)

Data for a geometry-optimized LiErSO structure.

a b c (Å): 5.5075 9.0477 5.4330
angles (deg): 90.00 90.00 90.00
Last column: nearest neighbours and their distance in Å.
Space group Pca2_1 (No. 29)
Inequivalent atoms, fractional coordinates:
Li1 0.1389 0.0413 0.0000 [4 per cell]  3 O 1.90-1.95
Er1 0.0041 0.3136 0.6276 [4 per cell]  1 O 1.98
S1 0.0077 0.6430 0.6280 [4 per cell]  5 Er 2.74-2.98, 1 Li 3.05
O1 0.0606 0.0990 0.6629 [4 per cell]  3 Li 1.90-1.95, 1 Er 1.98

Values from the calculation:
- VASP energy: -6.17 eV/atom
- Offset from the most stable computed form: 177 meV per atom

***

No. 7
## SrHgTeO (GGA-PBE)

Data for a geometry-optimized SrHgTeO structure.

a b c (Å): 4.0599 15.5456 6.2931
angles (deg): 90.00 90.00 90.00
Last column: nearest neighbours and their distance in Å.
Space group Cmcm (No. 63)
Inequivalent atoms, fractional coordinates:
Sr1 0.0000 0.1107 0.2500 [4 per cell]  2 O 2.33
Hg1 0.0000 0.4266 0.2500 [4 per cell]  4 O 2.81, 2 Te 3.01
Te1 0.0000 0.2162 0.7500 [4 per cell]  2 Hg 3.01
O1 0.0000 0.0000 0.0000 [4 per cell]  2 Sr 2.33

Values from the calculation:
- VASP energy: -3.38 eV/atom
- Offset from the most stable computed form: 430 meV per atom

***

No. 8
## La2NdGe4Ir2Pd2 (GGA-PBE)

Data for a geometry-optimized La2NdGe4Ir2Pd2 structure.

a b c (Å): 4.1425 4.3275 25.5933
angles (deg): 90.00 90.00 90.00
Last column: nearest neighbours and their distance in Å.
Space group Immm (No. 71)
Inequivalent atoms, fractional coordinates:
La1 0.0000 0.0000 0.1478 [4 per cell]  6 Ge 3.25-3.28, 4 Pd 3.26, 4 Ir 3.33-3.40
Nd1 0.0000 0.5000 0.0000 [2 per cell]  8 Ge 3.24, 4 Pd 3.25
Ge1 0.0000 0.0000 0.3031 [4 per cell]  4 Ir 2.48-2.55, 1 Pd 2.54
Ge2 0.0000 0.5000 0.4515 [4 per cell]  1 Ge 2.48, 2 Pd 2.50
Ir1 0.0000 0.5000 0.2504 [4 per cell]  4 Ge 2.48-2.55
Pd1 0.0000 0.0000 0.4022 [4 per cell]  3 Ge 2.50-2.54

Values from the calculation:
- VASP energy: -6.46 eV/atom
- Offset from the most stable computed form: 0 meV per atom

***

Question: What is the VASP energy in the fifth record?
Answer: -4.76 eV/atom